Record 1
# Ag2Se

Ag2Se after structural relaxation (PBE, Alexandria).

- final energy (Ha/atom) = -0.106

Cell: 5.6316 5.6316 9.5188 Å, 90.00 90.00 120.00°
Space group P6_3/mmc (No. 194)
Symmetry-distinct sites (fractional):
1 Ag 0.0000 0.0000 0.0000 (multiplicity 2)
2 Ag 0.1652 0.3303 0.2500 (multiplicity 6)
3 Se 0.3333 0.6667 0.0176 (multiplicity 4)


Record 2
# KRbCa2Ag

KRbCa2Ag after structural relaxation (PBE, Alexandria).

- relative energy among the computed polymorphs (eV per atom) = 0.011

Cell: 6.034 6.034 6.879 Å, 90.00 90.00 90.00°
Space group P4/mmm (No. 123)
Symmetry-distinct sites (fractional):
1 K 0.000 0.000 0.000 (multiplicity 1)
2 Rb 0.500 0.500 0.000 (multiplicity 1)
3 Ca 0.000 0.500 0.500 (multiplicity 2)
4 Ag 0.500 0.500 0.500 (multiplicity 1)


Ordered magnetic moment results: 0.0; 0.0; unit μB/f.u..